Record 1
! PmThPd (PBE, optimized geometry); values from VASP
&SYSTEM
  ibrav = 0, nat = 3, ntyp = 3
/
ATOMIC_SPECIES
Pm 145.00 Pm.upf
Th 232.04 Th.upf
Pd 106.42 Pd.upf
ATOMIC_POSITIONS angstrom
Pm 0.000 0.000 0.000
Th 3.545 3.545 3.545
Pd 1.773 1.773 1.773
CELL_PARAMETERS angstrom
0.000 3.545 3.545
3.545 0.000 3.545
3.545 3.545 0.000
! * formation energy: -229 meV/atom
! * DFT total energy: -6.02 eV/atom
! * V: 89 Å³/cell
! * excess energy over the best structure of this formula in the dataset: 0.211 eV per atom
! * N(E_F): 4.88 states/eV per cell
! * space-group type: No. 216
! * density: 9.0 Mg/m³
! * total magnetic moment: 0.00 μB/atom



Record 2
! Al2TcBr (PBE, optimized geometry); values from VASP
&SYSTEM
  ibrav = 0, nat = 4, ntyp = 3
/
ATOMIC_SPECIES
Al 26.98 Al.upf
Tc 98.00 Tc.upf
Br 79.90 Br.upf
ATOMIC_POSITIONS angstrom
Al 0.000 0.000 1.355
Al 0.000 0.000 5.983
Tc 1.582 1.582 0.000
Br 1.582 1.582 3.669
CELL_PARAMETERS angstrom
3.163 0.000 0.000
0.000 3.163 0.000
0.000 0.000 7.338
! * DFT total energy: -4.96 eV/atom
! * V: 73 Å³/cell
! * excess energy over the best structure of this formula in the dataset: 0.144 eV per atom
! * N(E_F): 2.49 states/eV per cell
! * formation energy without anion corrections: -8 kJ per mole of atoms
! * space-group type: No. 123
! * density: 5.2 Mg/m³
! * total magnetic moment: 0.00 μB/atom



Record 3
! SmMg10Cd2 (PBE, optimized geometry); values from VASP
&SYSTEM
  ibrav = 0, nat = 13, ntyp = 3
/
ATOMIC_SPECIES
Sm 150.36 Sm.upf
Mg 24.30 Mg.upf
Cd 112.41 Cd.upf
ATOMIC_POSITIONS angstrom
Sm 0.000 0.000 0.000
Mg 1.493 0.000 3.583
Mg 2.985 2.514 4.684
Mg 2.985 5.585 5.660
Mg 2.985 2.514 9.649
Mg 2.985 5.585 8.673
Mg 1.493 7.114 3.583
Mg 2.985 8.642 5.660
Mg 2.985 11.713 4.684
Mg 2.985 8.642 8.673
Mg 2.985 11.713 9.649
Cd 1.493 3.557 0.000
Cd 1.493 3.557 7.166
CELL_PARAMETERS angstrom
0.000 7.114 7.166
2.985 0.000 7.166
2.985 7.114 0.000
! * formation energy: -86 meV/atom
! * DFT total energy: -1.82 eV/atom
! * V: 304 Å³/cell
! * N(E_F): 5.19 states/eV per cell
! * space-group type: No. 69
! * density: 3.4 Mg/m³
! * total magnetic moment: 0.00 μB/atom



Record 4
! Re3RuF (PBE, optimized geometry); values from VASP
&SYSTEM
  ibrav = 0, nat = 5, ntyp = 3
/
ATOMIC_SPECIES
Re 186.21 Re.upf
Ru 101.07 Ru.upf
F 19.00 F.upf
ATOMIC_POSITIONS angstrom
Re 0.000 0.000 2.354
Re 0.000 2.354 0.000
Re 2.354 0.000 0.000
Ru 0.000 0.000 0.000
F 2.354 2.354 2.354
CELL_PARAMETERS angstrom
4.707 0.000 0.000
0.000 4.707 0.000
0.000 0.000 4.707
! * DFT total energy: -7.44 eV/atom
! * V: 104 Å³/cell
! * excess energy over the best structure of this formula in the dataset: 0.938 eV per atom
! * N(E_F): 4.04 states/eV per cell
! * formation energy without anion corrections: 217 kJ per mole of atoms
! * space-group type: No. 221
! * density: 10.8 Mg/m³
! * total magnetic moment: 0.75 μB/atom